## NaCrF3 (PBE+U)

Data for an optimized crystal structure of NaCrF3.

Calculated values
Final energy (eV for the cell shown): -110.15

abc: 6.1734 5.8431 7.6647
angles: 90.00 94.49 90.00
Last column: nearest neighbours and their distance in Å.
Positions (direct):
Na  0.1006  0.2176  0.1628  4 F 2.27-2.46
Na  0.1006  0.2824  0.6628  4 F 2.27-2.46
Na  0.8994  0.7176  0.3372  4 F 2.27-2.46
Na  0.8994  0.7824  0.8372  4 F 2.27-2.46
Cr  0.4125  0.7283  0.0751  4 F 2.00-2.08
Cr  0.4125  0.7717  0.5751  4 F 2.00-2.08
Cr  0.5875  0.2283  0.4249  4 F 2.00-2.08
Cr  0.5875  0.2717  0.9249  4 F 2.00-2.08
F  0.1128  0.6664  0.6194  1 Cr 2.00
F  0.1128  0.8336  0.1194  1 Cr 2.00
F  0.2931  0.0778  0.4662  2 Cr 2.07-2.08
F  0.2931  0.4222  0.9662  2 Cr 2.07-2.08
F  0.4278  0.5101  0.3272  1 Cr 2.03
F  0.4278  0.9899  0.8272  1 Cr 2.03
F  0.5722  0.0101  0.1728  1 Cr 2.03
F  0.5722  0.4899  0.6728  1 Cr 2.03
F  0.7069  0.5778  0.0338  2 Cr 2.07-2.08
F  0.7069  0.9222  0.5338  2 Cr 2.07-2.08
F  0.8872  0.1664  0.8806  1 Cr 2.00
F  0.8872  0.3336  0.3806  1 Cr 2.00